1.
## Dy3Si2Te3 (PBE-GGA)

Data for a relaxed structure of Dy3Si2Te3.

CIF file:
```
data_Dy3Si2Te3
_chemical_formula_sum 'Dy6 Si4 Te6'
_cell_length_a 8.9778
_cell_length_b 8.9778
_cell_length_c 5.8800
_cell_angle_alpha 90.00
_cell_angle_beta 90.00
_cell_angle_gamma 120.00
_symmetry_space_group_name_H-M 'P 63/m c m'
_symmetry_Int_Tables_number 193
_symmetry_space_group_name_Hall '-P 6c 2'
loop_
_atom_site_label
_atom_site_fract_x
_atom_site_fract_y
_atom_site_fract_z
_atom_site_occupancy
Dy1 0.0000 0.3932 0.2500 1
Si1 0.3333 0.6667 0.0000 1
Te1 0.0000 0.2629 0.7500 1
```

Values from the calculation:
crystal system = hexagonal
uncorrected formation energy = -72.5 kJ/mol of atoms
E_tot = -80.171 eV per cell



2.
## PuZrScNb (PBE-GGA)

Data for a relaxed structure of PuZrScNb.

CIF file:
```
data_PuZrScNb
_chemical_formula_sum 'Pu4 Zr4 Sc4 Nb4'
_cell_length_a 7.0447
_cell_length_b 7.0447
_cell_length_c 7.0447
_cell_angle_alpha 90.00
_cell_angle_beta 90.00
_cell_angle_gamma 90.00
_symmetry_space_group_name_H-M 'F -4 3 m'
_symmetry_Int_Tables_number 216
_symmetry_space_group_name_Hall 'F -4 2 3'
loop_
_atom_site_label
_atom_site_fract_x
_atom_site_fract_y
_atom_site_fract_z
_atom_site_occupancy
Pu1 0.0000 0.0000 0.0000 1
Zr1 0.0000 0.0000 0.5000 1
Sc1 0.2500 0.2500 0.7500 1
Nb1 0.2500 0.2500 0.2500 1
```

Values from the calculation:
crystal system = cubic
ΔE_f = 0.16 eV/atom
E_tot = -154.534 eV per cell



| no. | volume (Å³/f.u.) |
| --- | --- |
| 1 | 205.2 |
| 2 | 87.4 |